# 1
Here is Li2FeHg after structural relaxation from the Alexandria database. Energies are from GGA-PBE.

Results
Its formation enthalpy at 0 K is 13.28 kJ per mole of atoms. The calculation puts the total magnetization at 0.59 μB per atom.

Unit cell a=3.0448 b=4.5550 c=4.5624 alpha=90.00 beta=90.00 gamma=90.00
Space group Pmmm (No. 47)
Unique sites:
Li: 0.0000 0.0000 0.0000 (multiplicity 1)
Li: 0.5000 0.5000 0.0000 (multiplicity 1)
Fe: 0.0000 0.5000 0.5000 (multiplicity 1)
Hg: 0.5000 0.0000 0.5000 (multiplicity 1)

# 2
Here is SnPdSe2 after structural relaxation from the Alexandria database. Energies are from GGA-PBE.

Results
For the formation energy without anion corrections, the calculation gives -0.380 eV/atom. The calculation puts the total magnetization at 0.00 μB per atom.

Unit cell a=4.0737 b=8.7593 c=5.0800 alpha=90.00 beta=90.00 gamma=90.00
Space group Pmn2_1 (No. 31)
Unique sites:
Sn: 0.0000 0.2095 0.0000 (multiplicity 2)
Pd: 0.0000 0.6757 0.1695 (multiplicity 2)
Se: 0.0000 0.4323 0.4124 (multiplicity 2)
Se: 0.0000 0.8961 0.8543 (multiplicity 2)

# 3
Here is CsNa3Li after structural relaxation from the Alexandria database. Energies are from GGA-PBE.

Results
As for the offset from the most stable computed form: 0.5211 eV/atom. Its formation enthalpy at 0 K is 58.37 kJ per mole of atoms. The calculation puts the total magnetization at 0.00 μB per atom.

Unit cell a=6.9519 b=6.9519 c=6.9519 alpha=90.00 beta=90.00 gamma=90.00
Space group Pm-3m (No. 221)
Unique sites:
Cs: 0.0000 0.0000 0.0000 (multiplicity 1)
Na: 0.0000 0.0000 0.5000 (multiplicity 3)
Li: 0.5000 0.5000 0.5000 (multiplicity 1)

# 4
Here is TaBe3 after structural relaxation from the Alexandria database. Energies are from GGA-PBE.

Results
Its formation enthalpy at 0 K is 46.35 kJ per mole of atoms. The calculation puts the total magnetization at 0.00 μB per atom.

Unit cell a=2.6287 b=2.6287 c=24.4327 alpha=90.00 beta=90.00 gamma=120.00
Space group R-3m (No. 166, hexagonal axes)
Unique sites:
Ta: 0.0000 0.0000 0.0000 (multiplicity 3)
Be: 0.0000 0.0000 0.2397 (multiplicity 6)
Be: 0.0000 0.0000 0.5000 (multiplicity 3)